w | PBE-GGA ZrPd5Au, optimized geometry; density = 11.0 g cm⁻³; magnetization = 0.000 μB per cell
1.0
3.947 0.000 0.000
0.000 3.947 0.000
0.000 0.000 7.938
Zr Pd Au
1 5 1
Cartesian
0.000 0.000 0.000 Zr
0.000 0.000 3.969 Pd
0.000 1.973 1.876 Pd
0.000 1.973 6.062 Pd
1.973 0.000 1.876 Pd
1.973 0.000 6.062 Pd
1.973 1.973 3.969 Au



x | PBE-GGA ZrPd5Au, optimized geometry; density = 10.0 g cm⁻³; magnetization = 0.000 μB per cell
1.0
4.735 -4.794 0.000
4.735 4.794 0.000
-3.410 0.000 6.012
Zr Pd Au
2 10 2
Cartesian
2.178 4.539 4.509 Zr
3.883 -4.539 1.503 Zr
-0.283 1.137 3.935 Pd
3.624 2.759 0.170 Pd
2.178 2.014 4.509 Pd
4.141 2.759 2.836 Pd
1.422 -1.137 0.929 Pd
4.639 1.137 5.084 Pd
1.919 -2.759 3.176 Pd
3.883 -2.014 1.503 Pd
2.436 -2.759 5.842 Pd
6.343 -1.137 2.078 Pd
4.735 0.000 0.000 Au
3.030 0.000 3.006 Au



Which of them is most stable, and which least? Most stable: w; least stable: x.